Compound: TbY3Th2As6
Source: the Alexandria database
Functional: PBE
Structure: relaxed

It has space group C2/m (No. 12), with a = 18.174 Å, b = 4.183 Å, c = 8.329 Å, α = 90.00°, β = 103.10° and γ = 90.00°. The distinct sites, in fractional coordinates, are Tb at (0.000, 0.000, 0.000), Y at (0.000, 0.000, 0.500), Y at (0.166, 0.500, 0.834), Th at (0.165, 0.500, 0.330), As at (0.002, 0.500, 0.750), As at (0.166, 0.000, 0.587) and As at (0.167, 0.000, 0.078).

As for the energy relative to the elements: -1.51 eV per atom.


Compound: HgBr7
Source: the Alexandria database
Functional: PBE
Structure: relaxed

It has space group Fm-3m (No. 225), with a = 9.509 Å, b = 9.509 Å, c = 9.509 Å, α = 90.00°, β = 90.00° and γ = 90.00°. The distinct sites, in fractional coordinates, are Hg at (0.000, 0.000, 0.000), Br at (0.000, 0.000, 0.500) and Br at (0.000, 0.250, 0.250).

The formation energy (no corrections) is 532 meV per atom.


Compound: SrCoPt2Pb
Source: the Alexandria database
Functional: PBE
Structure: relaxed

It has space group P4/mmm (No. 123), with a = 5.119 Å, b = 5.119 Å, c = 5.957 Å, α = 90.00°, β = 90.00° and γ = 90.00°. The distinct sites, in fractional coordinates, are Sr at (0.000, 0.000, 0.000), Co at (0.500, 0.500, 0.000), Pt at (0.000, 0.500, 0.500) and Pb at (0.000, 0.000, 0.500).

As for the energy relative to the elements: 1.17 eV per atom.


Compound: LiTlZnNi
Source: the Alexandria database
Functional: PBE
Structure: relaxed

It has space group F-43m (No. 216), with a = 6.261 Å, b = 6.261 Å, c = 6.261 Å, α = 90.00°, β = 90.00° and γ = 90.00°. The distinct sites, in fractional coordinates, are Li at (0.000, 0.000, 0.000), Tl at (0.250, 0.250, 0.750), Zn at (0.250, 0.250, 0.250) and Ni at (0.000, 0.000, 0.500).

As for the energy relative to the elements: -0.08 eV per atom.


Compound: Th8Fe2Mo
Source: the Alexandria database
Functional: PBE
Structure: relaxed

It has space group Cm (No. 8), with a = 8.069 Å, b = 13.116 Å, c = 5.951 Å, α = 90.00°, β = 109.47° and γ = 90.00°. The distinct sites, in fractional coordinates, are Th at (0.000, 0.000, 0.000), Th at (0.091, 0.377, 0.758), Th at (0.154, 0.123, 0.595), Th at (0.245, 0.500, 0.353), Th at (0.373, 0.220, 0.176), Fe at (0.373, 0.282, 0.677) and Mo at (0.373, 0.000, 0.177).

As for the energy relative to the elements: 0.10 eV per atom.


Compound: TbPmCd2
Source: the Alexandria database
Functional: PBE
Structure: relaxed

It has space group P4/mmm (No. 123), with a = 3.780 Å, b = 3.780 Å, c = 7.656 Å, α = 90.00°, β = 90.00° and γ = 90.00°. The distinct sites, in fractional coordinates, are Tb at (0.000, 0.000, 0.000), Pm at (0.000, 0.000, 0.500) and Cd at (0.500, 0.500, 0.239).

As for the energy relative to the elements: -0.32 eV per atom. The calculation puts the energy above the most stable polymorph in this dataset at 0.01 eV/f.u.


Compound: Cd3P2
Source: the Alexandria database
Functional: PBE
Structure: relaxed

It has space group Pn-3m (No. 224, origin choice 2), with a = 6.252 Å, b = 6.252 Å, c = 6.252 Å, α = 90.00°, β = 90.00° and γ = 90.00°. The distinct sites, in fractional coordinates, are Cd at (0.250, 0.250, 0.750) and P at (0.000, 0.000, 0.000).

As for the energy relative to the elements: 0.14 eV per atom. The calculation puts the energy above the most stable polymorph in this dataset at 0.95 eV/f.u.


Compound: SrAcRhAu
Source: the Alexandria database
Functional: PBE
Structure: relaxed

It has space group F-43m (No. 216), with a = 7.530 Å, b = 7.530 Å, c = 7.530 Å, α = 90.00°, β = 90.00° and γ = 90.00°. The distinct sites, in fractional coordinates, are Sr at (0.000, 0.000, 0.000), Ac at (0.000, 0.000, 0.500), Rh at (0.250, 0.250, 0.250) and Au at (0.250, 0.250, 0.750).

As for the energy relative to the elements: -0.56 eV per atom. The calculation puts the energy above the most stable polymorph in this dataset at 0.42 eV/f.u.


Compound: Na2ZnSbH
Source: the Alexandria database
Functional: PBE
Structure: relaxed

It has space group P4/mmm (No. 123), with a = 4.326 Å, b = 4.326 Å, c = 4.975 Å, α = 90.00°, β = 90.00° and γ = 90.00°. The distinct sites, in fractional coordinates, are Na at (0.000, 0.500, 0.000), Zn at (0.000, 0.000, 0.500), Sb at (0.500, 0.500, 0.500) and H at (0.000, 0.000, 0.000).

The calculation puts the energy above the most stable polymorph in this dataset at 0.76 eV/f.u.


Compound: ReGeCl3
Source: the Alexandria database
Functional: PBE
Structure: relaxed

It has space group Pm-3m (No. 221), with a = 5.211 Å, b = 5.211 Å, c = 5.211 Å, α = 90.00°, β = 90.00° and γ = 90.00°. The distinct sites, in fractional coordinates, are Re at (0.000, 0.000, 0.000), Ge at (0.500, 0.500, 0.500) and Cl at (0.000, 0.500, 0.500).

The calculation puts the energy above the most stable polymorph in this dataset at 0.74 eV/f.u. The formation energy (no corrections) is 661 meV per atom.


Compound: Mn2MoHIr
Source: the Alexandria database
Functional: PBE
Structure: relaxed

It has space group P4/mmm (No. 123), with a = 3.824 Å, b = 3.824 Å, c = 3.759 Å, α = 90.00°, β = 90.00° and γ = 90.00°. The distinct sites, in fractional coordinates, are Mn at (0.000, 0.500, 0.000), Mo at (0.000, 0.000, 0.500), H at (0.500, 0.500, 0.000) and Ir at (0.500, 0.500, 0.500).

The calculation puts the energy above the most stable polymorph in this dataset at 0.11 eV/f.u.


Compound: TbGa7Cu2
Source: the Alexandria database
Functional: PBE
Structure: relaxed

It has space group Cmmm (No. 65), with a = 7.871 Å, b = 13.504 Å, c = 3.954 Å, α = 90.00°, β = 90.00° and γ = 90.00°. The distinct sites, in fractional coordinates, are Tb at (0.000, 0.000, 0.000), Ga at (0.000, 0.222, 0.000), Ga at (0.000, 0.500, 0.500), Ga at (0.195, 0.144, 0.500) and Cu at (0.000, 0.324, 0.500).

As for the energy relative to the elements: 0.00 eV per atom.


no.,energy (eV for the cell shown),mass density (g/cm³)
1,-169.773,7.21
2,-31.024,5.87
3,-18.729,7.91
4,-46.559,9.08
5,-172.047,11.55
6,-12.482,8.03
7,-25.735,5.42
8,-74.683,9.56
9,-11.964,4.18
10,-19.301,4.29
11,-41.594,12.05
12,-68.099,6.12